No. 1
TiSn3Os at its PBEsol-relaxed geometry. Source: the Alexandria database, functional SCAN.

Computed properties:
As for the density of states at the Fermi level: 6.651 states/eV/cell. The value obtained for the energy of formation is 71.6 kJ per mole of atoms.

Cell and atoms, written as CIF:
```
data_TiSn3Os
_chemical_formula_sum 'Ti1 Sn3 Os1'
_space_group_name_H-M_alt 'P m -3 m'
_space_group_IT_number 221
_space_group_name_Hall '-P 4 2 3'
_cell_length_a 5.065
_cell_length_b 5.065
_cell_length_c 5.065
_cell_angle_alpha 90.00
_cell_angle_beta 90.00
_cell_angle_gamma 90.00
loop_
_atom_site_label
_atom_site_type_symbol
_atom_site_fract_x
_atom_site_fract_y
_atom_site_fract_z
Ti1 Ti 0.000 0.000 0.000
Sn1 Sn 0.000 0.500 0.500
Os1 Os 0.500 0.500 0.500
```

No. 2
TlSn3Os at its PBEsol-relaxed geometry. Source: the Alexandria database, functional SCAN.

Computed properties:
As for the density of states at the Fermi level: 3.031 states/eV/cell. The value obtained for the energy of formation is 28.6 kJ per mole of atoms.

Cell and atoms, written as CIF:
```
data_TlSn3Os
_chemical_formula_sum 'Tl1 Sn3 Os1'
_space_group_name_H-M_alt 'P m -3 m'
_space_group_IT_number 221
_space_group_name_Hall '-P 4 2 3'
_cell_length_a 5.122
_cell_length_b 5.122
_cell_length_c 5.122
_cell_angle_alpha 90.00
_cell_angle_beta 90.00
_cell_angle_gamma 90.00
loop_
_atom_site_label
_atom_site_type_symbol
_atom_site_fract_x
_atom_site_fract_y
_atom_site_fract_z
Tl1 Tl 0.000 0.000 0.000
Sn1 Sn 0.000 0.500 0.500
Os1 Os 0.500 0.500 0.500
```

No. 3
Zn3SnOs at its PBEsol-relaxed geometry. Source: the Alexandria database, functional SCAN.

Computed properties:
As for the density of states at the Fermi level: 2.081 states/eV/cell. The value obtained for the energy of formation is 60.8 kJ per mole of atoms.

Cell and atoms, written as CIF:
```
data_Zn3SnOs
_chemical_formula_sum 'Zn3 Sn1 Os1'
_space_group_name_H-M_alt 'P m -3 m'
_space_group_IT_number 221
_space_group_name_Hall '-P 4 2 3'
_cell_length_a 4.743
_cell_length_b 4.743
_cell_length_c 4.743
_cell_angle_alpha 90.00
_cell_angle_beta 90.00
_cell_angle_gamma 90.00
loop_
_atom_site_label
_atom_site_type_symbol
_atom_site_fract_x
_atom_site_fract_y
_atom_site_fract_z
Zn1 Zn 0.000 0.000 0.500
Sn1 Sn 0.500 0.500 0.500
Os1 Os 0.000 0.000 0.000
```

No. 4
Zr3SnOs at its PBEsol-relaxed geometry. Source: the Alexandria database, functional SCAN.

Computed properties:
As for the density of states at the Fermi level: 6.331 states/eV/cell. The value obtained for the energy of formation is -2.9 kJ per mole of atoms.

Cell and atoms, written as CIF:
```
data_Zr3SnOs
_chemical_formula_sum 'Zr3 Sn1 Os1'
_space_group_name_H-M_alt 'P m -3 m'
_space_group_IT_number 221
_space_group_name_Hall '-P 4 2 3'
_cell_length_a 4.980
_cell_length_b 4.980
_cell_length_c 4.980
_cell_angle_alpha 90.00
_cell_angle_beta 90.00
_cell_angle_gamma 90.00
loop_
_atom_site_label
_atom_site_type_symbol
_atom_site_fract_x
_atom_site_fract_y
_atom_site_fract_z
Zr1 Zr 0.000 0.000 0.500
Sn1 Sn 0.500 0.500 0.500
Os1 Os 0.000 0.000 0.000
```

No. 5
Sr5Os at its PBEsol-relaxed geometry. Source: the Alexandria database, functional SCAN.

Computed properties:
As for the density of states at the Fermi level: 6.082 states/eV/cell. The value obtained for the energy of formation is 39.7 kJ per mole of atoms.

Cell and atoms, written as CIF:
```
data_Sr5Os
_chemical_formula_sum 'Sr5 Os1'
_space_group_name_H-M_alt 'P 4/m m m'
_space_group_IT_number 123
_space_group_name_Hall '-P 4 2'
_cell_length_a 3.765
_cell_length_b 3.765
_cell_length_c 16.431
_cell_angle_alpha 90.00
_cell_angle_beta 90.00
_cell_angle_gamma 90.00
loop_
_atom_site_label
_atom_site_type_symbol
_atom_site_fract_x
_atom_site_fract_y
_atom_site_fract_z
Sr1 Sr 0.000 0.000 0.000
Sr2 Sr 0.000 0.000 0.399
Sr3 Sr 0.500 0.500 0.196
Os1 Os 0.500 0.500 0.500
```

No. 6
Sr3Os at its PBEsol-relaxed geometry. Source: the Alexandria database, functional SCAN.

Computed properties:
As for the density of states at the Fermi level: 1.744 states/eV/cell. The value obtained for the energy of formation is 74.3 kJ per mole of atoms.

Cell and atoms, written as CIF:
```
data_Sr3Os
_chemical_formula_sum 'Sr3 Os1'
_space_group_name_H-M_alt 'P m -3 m'
_space_group_IT_number 221
_space_group_name_Hall '-P 4 2 3'
_cell_length_a 4.882
_cell_length_b 4.882
_cell_length_c 4.882
_cell_angle_alpha 90.00
_cell_angle_beta 90.00
_cell_angle_gamma 90.00
loop_
_atom_site_label
_atom_site_type_symbol
_atom_site_fract_x
_atom_site_fract_y
_atom_site_fract_z
Sr1 Sr 0.000 0.000 0.500
Os1 Os 0.500 0.500 0.500
```

No. 7
SrTa2Os at its PBEsol-relaxed geometry. Source: the Alexandria database, functional SCAN.

Computed properties:
As for the density of states at the Fermi level: 3.673 states/eV/cell. The value obtained for the energy of formation is 89.9 kJ per mole of atoms. The calculation puts the distance to the lowest polymorph of the same formula at 504 meV/atom.

Cell and atoms, written as CIF:
```
data_SrTa2Os
_chemical_formula_sum 'Sr1 Ta2 Os1'
_space_group_name_H-M_alt 'P m m m'
_space_group_IT_number 47
_cell_length_a 3.145
_cell_length_b 4.793
_cell_length_c 4.948
_cell_angle_alpha 90.00
_cell_angle_beta 90.00
_cell_angle_gamma 90.00
loop_
_space_group_symop_operation_xyz
'x,y,z'
'-x,-y,-z'
'-x,-y,z'
'x,y,-z'
'x,-y,-z'
'-x,y,z'
'-x,y,-z'
'x,-y,z'
loop_
_atom_site_label
_atom_site_type_symbol
_atom_site_fract_x
_atom_site_fract_y
_atom_site_fract_z
Sr1 Sr 0.000 0.000 0.000
Ta1 Ta 0.000 0.500 0.500
Ta2 Ta 0.500 0.500 0.000
Os1 Os 0.500 0.000 0.500
```

No. 8
SrTa2Os2 at its PBEsol-relaxed geometry. Source: the Alexandria database, functional SCAN.

Computed properties:
As for the density of states at the Fermi level: 7.655 states/eV/cell. The value obtained for the energy of formation is -21.7 kJ per mole of atoms.

Cell and atoms, written as CIF:
```
data_SrTa2Os2
_chemical_formula_sum 'Sr2 Ta4 Os4'
_space_group_name_H-M_alt 'I 4/m m m'
_space_group_IT_number 139
_space_group_name_Hall '-I 4 2'
_cell_length_a 4.354
_cell_length_b 4.354
_cell_length_c 10.937
_cell_angle_alpha 90.00
_cell_angle_beta 90.00
_cell_angle_gamma 90.00
loop_
_atom_site_label
_atom_site_type_symbol
_atom_site_fract_x
_atom_site_fract_y
_atom_site_fract_z
Sr1 Sr 0.000 0.000 0.000
Ta1 Ta 0.000 0.500 0.250
Os1 Os 0.000 0.000 0.380
```

No. 9
Sr2TaOs at its PBEsol-relaxed geometry. Source: the Alexandria database, functional SCAN.

Computed properties:
As for the density of states at the Fermi level: 3.668 states/eV/cell. The value obtained for the energy of formation is 108.7 kJ per mole of atoms. The calculation puts the distance to the lowest polymorph of the same formula at 885 meV/atom.

Cell and atoms, written as CIF:
```
data_Sr2TaOs
_chemical_formula_sum 'Sr2 Ta1 Os1'
_space_group_name_H-M_alt 'P m m m'
_space_group_IT_number 47
_cell_length_a 2.918
_cell_length_b 5.305
_cell_length_c 5.637
_cell_angle_alpha 90.00
_cell_angle_beta 90.00
_cell_angle_gamma 90.00
loop_
_space_group_symop_operation_xyz
'x,y,z'
'-x,-y,-z'
'-x,-y,z'
'x,y,-z'
'x,-y,-z'
'-x,y,z'
'-x,y,-z'
'x,-y,z'
loop_
_atom_site_label
_atom_site_type_symbol
_atom_site_fract_x
_atom_site_fract_y
_atom_site_fract_z
Sr1 Sr 0.000 0.000 0.243
Ta1 Ta 0.500 0.500 0.500
Os1 Os 0.500 0.500 0.000
```

No. 10
Sr2TaOs at its PBEsol-relaxed geometry. Source: the Alexandria database, functional SCAN.

Computed properties:
As for the density of states at the Fermi level: 4.363 states/eV/cell. The value obtained for the energy of formation is 23.3 kJ per mole of atoms. The calculation puts the distance to the lowest polymorph of the same formula at 0 meV/atom.

Cell and atoms, written as CIF:
```
data_Sr2TaOs
_chemical_formula_sum 'Sr2 Ta1 Os1'
_space_group_name_H-M_alt 'P 4 m m'
_space_group_IT_number 99
_cell_length_a 3.476
_cell_length_b 3.476
_cell_length_c 9.524
_cell_angle_alpha 90.00
_cell_angle_beta 90.00
_cell_angle_gamma 90.00
loop_
_space_group_symop_operation_xyz
'x,y,z'
'-y,x,z'
'-x,-y,z'
'y,-x,z'
'-x,y,z'
'y,x,z'
'x,-y,z'
'-y,-x,z'
loop_
_atom_site_label
_atom_site_type_symbol
_atom_site_fract_x
_atom_site_fract_y
_atom_site_fract_z
Sr1 Sr 0.000 0.000 0.000
Sr2 Sr 0.500 0.500 0.395
Ta1 Ta 0.000 0.000 0.663
Os1 Os 0.500 0.500 0.750
```

No. 11
SrTa2Os at its PBEsol-relaxed geometry. Source: the Alexandria database, functional SCAN.

Computed properties:
As for the density of states at the Fermi level: 3.663 states/eV/cell. The value obtained for the energy of formation is 41.2 kJ per mole of atoms. The calculation puts the distance to the lowest polymorph of the same formula at 0 meV/atom.

Cell and atoms, written as CIF:
```
data_SrTa2Os
_chemical_formula_sum 'Sr1 Ta2 Os1'
_space_group_name_H-M_alt 'P 1 2/m 1'
_space_group_IT_number 10
_cell_length_a 3.003
_cell_length_b 3.766
_cell_length_c 7.761
_cell_angle_alpha 90.00
_cell_angle_beta 92.41
_cell_angle_gamma 90.00
loop_
_space_group_symop_operation_xyz
'x,y,z'
'-x,-y,-z'
'-x,y,-z'
'x,-y,z'
loop_
_atom_site_label
_atom_site_type_symbol
_atom_site_fract_x
_atom_site_fract_y
_atom_site_fract_z
Sr1 Sr 0.000 0.000 0.000
Ta1 Ta 0.459 0.500 0.665
Os1 Os 0.000 0.000 0.500
```

No. 12
SrTaOs2 at its PBEsol-relaxed geometry. Source: the Alexandria database, functional SCAN.

Computed properties:
As for the density of states at the Fermi level: 2.645 states/eV/cell. The value obtained for the energy of formation is 103.3 kJ per mole of atoms.

Cell and atoms, written as CIF:
```
data_SrTaOs2
_chemical_formula_sum 'Sr1 Ta1 Os2'
_space_group_name_H-M_alt 'P m m m'
_space_group_IT_number 47
_cell_length_a 3.112
_cell_length_b 4.567
_cell_length_c 4.894
_cell_angle_alpha 90.00
_cell_angle_beta 90.00
_cell_angle_gamma 90.00
loop_
_space_group_symop_operation_xyz
'x,y,z'
'-x,-y,-z'
'-x,-y,z'
'x,y,-z'
'x,-y,-z'
'-x,y,z'
'-x,y,-z'
'x,-y,z'
loop_
_atom_site_label
_atom_site_type_symbol
_atom_site_fract_x
_atom_site_fract_y
_atom_site_fract_z
Sr1 Sr 0.000 0.000 0.000
Ta1 Ta 0.500 0.000 0.500
Os1 Os 0.000 0.500 0.500
Os2 Os 0.500 0.500 0.000
```